Crystalline HfBeV3 at its relaxed geometry, computed with PBE.

The calculation puts the formation energy at 0.52 eV per atom. Its density of states at the Fermi level is 7.24 states/eV per cell.

The structure belongs to space group Pm-3m (No. 221); the cell edges are 4.228, 4.228 and 4.228 Å and the angles 90.00°, 90.00° and 90.00°. The distinct sites, in fractional coordinates, are Hf at (0.000, 0.000, 0.000), Be at (0.500, 0.500, 0.500) and V at (0.000, 0.500, 0.500).

=====

Crystalline HfBeV at its relaxed geometry, computed with PBE.

The calculation puts the formation energy at 0.37 eV per atom. Its density of states at the Fermi level is 3.27 states/eV per cell.

The structure belongs to space group Pmm2 (No. 25); the cell edges are 3.482, 4.451 and 3.016 Å and the angles 90.00°, 90.00° and 90.00°. The distinct sites, in fractional coordinates, are Hf at (0.000, 0.000, 0.000), Be at (0.000, 0.500, 0.595) and V at (0.500, 0.500, 0.125).

=====

Crystalline HfBe2V at its relaxed geometry, computed with PBE.

The calculation puts the formation energy at -0.01 eV per atom. Its density of states at the Fermi level is 2.86 states/eV per cell.

The structure belongs to space group P4/mmm (No. 123); the cell edges are 3.055, 3.055 and 5.562 Å and the angles 90.00°, 90.00° and 90.00°. The distinct sites, in fractional coordinates, are Hf at (0.000, 0.000, 0.000), Be at (0.500, 0.500, 0.298) and V at (0.000, 0.000, 0.500).

=====

Crystalline HfBe9V2 at its relaxed geometry, computed with PBE.

The calculation puts the formation energy at -0.24 eV per atom. Its density of states at the Fermi level is 5.91 states/eV per cell.

The structure belongs to space group P6_3/mmc (No. 194); the cell edges are 4.4356, 4.4356 and 13.9259 Å and the angles 90.00°, 90.00° and 120.00°. The distinct sites, in fractional coordinates, are Hf at (0.3333, 0.6667, 0.2500), Be at (0.0000, 0.0000, 0.0000), Be at (0.0000, 0.0000, 0.2500), Be at (0.1694, 0.3388, 0.6224), Be at (0.3333, 0.6667, 0.7500) and V at (0.3333, 0.6667, 0.0335).

=====

Crystalline HfBe9V2 at its relaxed geometry, computed with PBE.

The calculation puts the formation energy at -0.24 eV per atom. Its density of states at the Fermi level is 13.41 states/eV per cell.

The structure belongs to space group R-3m (No. 166, hexagonal axes); the cell edges are 4.4327, 4.4327 and 20.8981 Å and the angles 90.00°, 90.00° and 120.00°. The distinct sites, in fractional coordinates, are Hf at (0.0000, 0.0000, 0.0000), Be at (0.0000, 0.0000, 0.3349), Be at (0.0000, 0.0000, 0.5000), Be at (0.0060, 0.5030, 0.9150) and V at (0.0000, 0.0000, 0.1447).

=====

Crystalline HfBe5V at its relaxed geometry, computed with PBE.

The calculation puts the formation energy at -0.15 eV per atom. Its density of states at the Fermi level is 16.74 states/eV per cell.

The structure belongs to space group Pnma (No. 62); the cell edges are 7.307, 4.496 and 9.158 Å and the angles 90.00°, 90.00° and 90.00°. The distinct sites, in fractional coordinates, are Hf at (0.242, 0.250, 0.063), Be at (0.054, 0.750, 0.120), Be at (0.071, 0.007, 0.318), Be at (0.087, 0.250, 0.516), Be at (0.185, 0.250, 0.747) and V at (0.125, 0.750, 0.867).

=====

Crystalline HfBe2V at its relaxed geometry, computed with PBE.

The calculation puts the formation energy at 0.07 eV per atom. Its density of states at the Fermi level is 3.50 states/eV per cell.

The structure belongs to space group P4/mmm (No. 123); the cell edges are 3.913, 3.913 and 3.455 Å and the angles 90.00°, 90.00° and 90.00°. The distinct sites, in fractional coordinates, are Hf at (0.000, 0.000, 0.000), Be at (0.000, 0.500, 0.500) and V at (0.500, 0.500, 0.000).

=====

Crystalline HfBe9W2 at its relaxed geometry, computed with PBE.

The calculation puts the formation energy at -0.28 eV per atom. Its density of states at the Fermi level is 4.89 states/eV per cell.

The structure belongs to space group P6_3/mmc (No. 194); the cell edges are 4.4882, 4.4882 and 14.0920 Å and the angles 90.00°, 90.00° and 120.00°. The distinct sites, in fractional coordinates, are Hf at (0.3333, 0.6667, 0.2500), Be at (0.0000, 0.0000, 0.0000), Be at (0.0000, 0.0000, 0.2500), Be at (0.1697, 0.3394, 0.6247), Be at (0.3333, 0.6667, 0.7500) and W at (0.3333, 0.6667, 0.0344).